[1]
11
Lattice="7.749 -1.913 0.000 7.749 1.913 0.000 -1.521 0.000 9.482" Properties=species:S:1:pos:R:3 comment="Mn4Br5F2, relaxed, DFT GGA+U" sg="No. 12" magnetic_moment_mub_per_fu=20.440 dos_ef_per_ev_atom=0.260 energy_ev_per_cell=-55.38 pbc="T T T"
Mn -0.028 0.000 2.730
Mn 3.668 0.000 8.292
Mn 10.308 0.000 1.191
Mn 14.004 0.000 6.752
Br 0.862 0.000 8.699
Br 2.724 0.000 3.066
Br 6.988 0.000 4.741
Br 11.252 0.000 6.416
Br 13.114 0.000 0.784
F 5.763 0.000 7.805
F 8.213 0.000 1.677

[2]
4
Lattice="1.971 1.138 7.727 -1.971 1.138 7.727 0.000 -2.276 7.727" Properties=species:S:1:pos:R:3 comment="MnBr2F, relaxed, DFT GGA+U" sg="No. 166" magnetic_moment_mub_per_fu=4.036 dos_ef_per_ev_atom=0.122 e_above_lowest_polymorph_mev_per_atom=0 pbc="T T T"
Mn 0.000 0.000 0.000
Br 0.000 0.000 9.212
Br 0.000 0.000 13.970
F 0.000 0.000 11.591

[3]
8
Lattice="-2.664 2.664 6.770 2.664 -2.664 6.770 2.664 2.664 -6.770" Properties=species:S:1:pos:R:3 comment="Mn2BrF, relaxed, DFT GGA+U" sg="No. 122" magnetic_moment_mub_per_fu=9.797 dos_ef_per_ev_atom=0.264 e_above_lowest_polymorph_mev_per_atom=0 pbc="T T T"
Mn 3.996 0.709 -1.693
Mn 0.709 1.332 1.693
Mn -1.332 1.954 5.078
Mn 1.954 1.332 8.463
Br 2.664 0.000 3.385
Br 0.000 0.000 6.770
F 0.000 0.000 0.000
F 0.000 2.664 3.385

[4]
5
Lattice="4.953 0.000 0.000 0.000 4.953 0.000 0.000 0.000 4.953" Properties=species:S:1:pos:R:3 comment="MnBr3F, relaxed, DFT GGA+U" sg="No. 221" magnetic_moment_mub_per_fu=5.078 dos_ef_per_ev_atom=0.636 e_above_lowest_polymorph_mev_per_atom=406 pbc="T T T"
Mn 0.000 0.000 0.000
Br 0.000 2.476 2.476
Br 2.476 0.000 2.476
Br 2.476 2.476 0.000
F 2.476 2.476 2.476

[5]
18
Lattice="3.449 -11.644 0.000 3.449 11.644 0.000 0.000 0.000 3.484" Properties=species:S:1:pos:R:3 comment="Mn3BrF5, relaxed, DFT GGA+U" sg="No. 65" magnetic_moment_mub_per_fu=15.000 dos_ef_per_ev_atom=0.000 energy_ev_per_cell=-108.83 pbc="T T T"
Mn 0.000 0.000 0.000
Mn 3.449 7.943 1.742
Mn 3.449 4.524 0.000
Mn 3.449 0.000 1.742
Mn 3.449 -4.524 0.000
Mn 3.449 -7.943 1.742
Br 3.449 2.541 1.742
Br 3.449 -2.541 1.742
F 1.294 4.088 0.000
F 3.449 10.172 1.742
F 3.449 5.708 1.742
F 2.093 0.000 0.000
F 1.294 -4.088 0.000
F 5.603 4.088 0.000
F 4.805 0.000 0.000
F 3.449 -5.708 1.742
F 3.449 -10.172 1.742
F 5.603 -4.088 0.000

[6]
18
Lattice="4.702 -12.723 0.000 4.702 12.723 0.000 0.000 0.000 3.866" Properties=species:S:1:pos:R:3 comment="Mn3Br5F, relaxed, DFT GGA+U" sg="No. 65" magnetic_moment_mub_per_fu=14.996 dos_ef_per_ev_atom=0.000 energy_ev_per_cell=-86.58 pbc="T T T"
Mn 0.000 0.000 0.000
Mn 4.702 9.133 1.933
Mn 4.702 4.493 0.000
Mn 4.702 0.000 1.933
Mn 4.702 -4.493 0.000
Mn 4.702 -9.133 1.933
Br 2.838 4.268 1.933
Br 1.806 0.000 1.933
Br 4.702 7.205 0.000
Br 4.702 1.737 0.000
Br 2.838 -4.268 1.933
Br 6.566 4.268 1.933
Br 4.702 -1.737 0.000
Br 4.702 -7.205 0.000
Br 7.598 0.000 1.933
Br 6.566 -4.268 1.933
F 4.702 10.326 0.000
F 4.702 -10.326 0.000

[7]
11
Lattice="-1.691 4.132 6.786 1.691 -4.132 6.786 1.691 4.132 -6.786" Properties=species:S:1:pos:R:3 comment="Mn4Br3F4, relaxed, DFT GGA+U" sg="No. 71" magnetic_moment_mub_per_fu=19.403 dos_ef_per_ev_atom=0.201 energy_ev_per_cell=-59.12 pbc="T T T"
Mn 0.000 0.000 2.751
Mn 1.691 2.226 0.000
Mn 0.000 1.906 6.786
Mn 0.000 0.000 10.820
Br 0.000 0.000 0.000
Br 1.691 0.000 5.126
Br 0.000 4.132 1.659
F 1.691 1.343 -2.204
F 0.000 2.788 8.990
F 1.691 1.343 2.204
F 0.000 2.788 4.582

[8]
11
Lattice="5.389 0.000 0.000 -1.771 5.978 0.000 -1.994 -1.399 6.011" Properties=species:S:1:pos:R:3 comment="MnBr2F8, relaxed, DFT GGA+U" sg="No. 2" magnetic_moment_mub_per_fu=5.001 energy_ev_per_cell=-39.57 pbc="T T T"
Mn 0.000 0.000 0.000
Br -0.160 0.363 3.477
Br 1.783 4.216 2.534
F -2.338 3.725 5.317
F -1.173 0.451 5.078
F 0.911 0.175 1.789
F 0.351 3.187 1.798
F 1.272 1.392 4.213
F 0.712 4.404 4.222
F 2.796 4.128 0.933
F 3.961 0.854 0.694

[9]
4
Lattice="0.000 3.426 3.426 3.426 0.000 3.426 3.426 3.426 0.000" Properties=species:S:1:pos:R:3 comment="Mn2BrF, relaxed, DFT GGA+U" sg="No. 225" magnetic_moment_mub_per_fu=10.246 dos_ef_per_ev_atom=0.500 e_above_lowest_polymorph_mev_per_atom=372 pbc="T T T"
Mn 1.713 1.713 1.713
Mn 5.138 5.138 5.138
Br 0.000 0.000 0.000
F 3.426 3.426 3.426

[10]
80
Lattice="-8.210 8.210 8.210 8.210 -8.210 8.210 8.210 8.210 -8.210" Properties=species:S:1:pos:R:3 comment="Mn5Br12F3, relaxed, DFT GGA+U" sg="No. 230" magnetic_moment_mub_per_fu=19.987 dos_ef_per_ev_atom=1.295 energy_ev_per_cell=-298.63 pbc="T T T"
Mn 0.000 0.000 0.000
Mn 4.105 4.105 -4.105
Mn 4.105 -4.105 4.105
Mn 8.210 0.000 0.000
Mn 12.315 2.052 0.000
Mn 8.210 -4.105 6.157
Mn 6.157 8.210 -4.105
Mn 6.157 0.000 4.105
Mn 4.105 6.157 0.000
Mn 8.210 4.105 2.052
Mn -4.105 4.105 4.105
Mn 0.000 8.210 0.000
Mn 0.000 0.000 8.210
Mn 4.105 4.105 4.105
Mn 0.000 4.105 6.157
Mn 4.105 2.052 8.210
Mn 2.052 8.210 4.105
Mn 2.052 0.000 12.315
Mn 0.000 12.315 2.052
Mn -4.105 6.157 8.210
Br 2.398 -0.569 1.113
Br 9.917 5.218 -4.674
Br 7.641 -1.113 2.398
Br 12.884 -1.707 2.992
Br 10.608 0.569 1.113
Br 9.917 -2.992 4.674
Br 1.113 2.398 -0.569
Br 11.202 3.536 -1.707
Br 5.218 4.674 -1.707
Br 7.097 2.398 0.569
Br -0.569 1.113 2.398
Br 4.674 -1.707 5.218
Br 7.641 7.097 -2.398
Br 4.674 1.707 2.992
Br 7.097 -2.398 7.641
Br 5.218 -4.674 9.917
Br 2.992 4.674 1.707
Br 9.323 5.812 0.569
Br 2.398 7.641 -1.113
Br 9.917 2.992 3.536
Br 4.674 9.917 -2.992
Br 7.641 1.113 5.812
Br 1.707 2.992 4.674
Br 2.398 0.569 7.097
Br 5.812 7.641 1.113
Br 6.503 5.218 3.536
Br 0.569 7.097 2.398
Br 3.536 -1.707 11.202
Br -1.707 5.218 4.674
Br 5.812 0.569 9.323
Br -1.113 2.398 7.641
Br 5.218 3.536 6.503
Br 2.992 12.884 -1.707
Br 1.113 10.608 0.569
Br 3.536 6.503 5.218
Br 0.569 1.113 10.608
Br 3.536 9.917 2.992
Br 8.779 7.097 5.812
Br 1.113 5.812 7.641
Br 2.992 3.536 9.917
Br -2.992 4.674 9.917
Br 7.097 5.812 8.779
Br -1.707 11.202 3.536
Br -2.398 7.641 7.097
Br -4.674 9.917 5.218
Br 0.569 9.323 5.812
Br -1.707 2.992 12.884
Br 5.812 8.779 7.097
F 4.105 2.052 0.000
F 8.210 4.105 -2.052
F 2.052 0.000 4.105
F 10.262 0.000 4.105
F 0.000 4.105 2.052
F 4.105 -2.052 8.210
F 4.105 10.262 0.000
F 8.210 4.105 6.157
F -2.052 8.210 4.105
F 6.157 8.210 4.105
F 0.000 4.105 10.262
F 4.105 6.157 8.210

[11]
12
Lattice="6.883 0.000 0.000 -3.441 5.961 0.000 0.000 0.000 5.907" Properties=species:S:1:pos:R:3 comment="Mn2BrF3, relaxed, DFT GGA+U" sg="No. 164" magnetic_moment_mub_per_fu=10.000 dos_ef_per_ev_atom=0.000 energy_ev_per_cell=-70.95 pbc="T T T"
Mn 0.000 0.000 0.000
Mn -1.721 2.980 0.000
Mn 3.441 0.000 0.000
Mn 1.721 2.980 0.000
Br 0.000 3.974 1.819
Br 3.441 1.987 4.088
F 0.000 2.020 5.025
F -1.692 4.951 5.025
F 1.749 1.010 0.883
F 1.692 4.951 5.025
F 5.134 1.010 0.883
F 3.441 3.941 0.883

[12]
4
Lattice="0.000 3.361 3.361 3.361 0.000 3.361 3.361 3.361 0.000" Properties=species:S:1:pos:R:3 comment="MnBr2F, relaxed, DFT GGA+U" sg="No. 225" magnetic_moment_mub_per_fu=4.000 dos_ef_per_ev_atom=0.891 e_above_lowest_polymorph_mev_per_atom=185 pbc="T T T"
Mn 0.000 0.000 0.000
Br 1.680 1.680 1.680
Br 5.041 5.041 5.041
F 3.361 3.361 3.361

[13]
5
Lattice="5.149 0.000 0.000 0.000 5.149 0.000 0.000 0.000 5.149" Properties=species:S:1:pos:R:3 comment="MnBr3F, relaxed, DFT GGA+U" sg="No. 221" magnetic_moment_mub_per_fu=3.000 dos_ef_per_ev_atom=2.112 e_above_lowest_polymorph_mev_per_atom=0 pbc="T T T"
Mn 0.000 0.000 0.000
Br 0.000 0.000 2.575
Br 0.000 2.575 0.000
Br 2.575 0.000 0.000
F 2.575 2.575 2.575

[14]
12
Lattice="9.137 -1.898 0.000 9.137 1.898 0.000 -6.763 0.000 10.460" Properties=species:S:1:pos:R:3 comment="Mn2Br3F, relaxed, DFT GGA+U" sg="No. 12" magnetic_moment_mub_per_fu=10.000 dos_ef_per_ev_atom=0.000 energy_ev_per_cell=-60.68 pbc="T T T"
Mn 3.338 0.000 1.084
Mn 0.656 0.000 6.823
Mn 10.855 0.000 3.637
Mn 8.174 0.000 9.376
Br 0.763 0.000 1.960
Br 2.857 0.000 5.205
Br 6.007 0.000 0.907
Br 5.505 0.000 9.553
Br 8.654 0.000 5.255
Br 10.749 0.000 8.499
F -0.989 0.000 8.197
F 12.501 0.000 2.263

[15]
10
Lattice="6.280 -1.861 0.000 6.280 1.861 0.000 -5.728 0.000 7.321" Properties=species:S:1:pos:R:3 comment="Mn2BrOF, relaxed, DFT GGA+U" sg="No. 12" magnetic_moment_mub_per_fu=10.000 energy_ev_per_cell=-63.69 pbc="T T T"
Mn -0.836 0.000 2.208
Mn -1.413 0.000 6.980
Mn 8.245 0.000 0.341
Mn 7.669 0.000 5.113
Br 1.823 0.000 3.085
Br 5.010 0.000 4.237
O -3.553 0.000 6.664
O 10.385 0.000 0.657
F 0.570 0.000 6.014
F 6.263 0.000 1.307

[16]
5
Lattice="4.166 0.000 0.000 0.000 4.166 0.000 0.000 0.000 3.949" Properties=species:S:1:pos:R:3 comment="MnBrOF2, relaxed, DFT GGA+U" sg="No. 123" magnetic_moment_mub_per_fu=2.000 dos_ef_per_ev_atom=0.376 e_above_lowest_polymorph_mev_per_atom=0 pbc="T T T"
Mn 0.000 0.000 0.000
Br 2.083 2.083 1.975
O 0.000 0.000 1.975
F 0.000 2.083 0.000
F 2.083 0.000 0.000

[17]
5
Lattice="3.860 0.000 0.000 0.000 3.860 0.000 0.000 0.000 5.283" Properties=species:S:1:pos:R:3 comment="MnBrO2F, relaxed, DFT GGA+U" sg="No. 123" magnetic_moment_mub_per_fu=5.164 dos_ef_per_ev_atom=0.289 energy_ev_per_cell=-21.09 pbc="T T T"
Mn 0.000 0.000 0.000
Br 1.930 1.930 2.642
O 0.000 1.930 2.642
O 1.930 0.000 2.642
F 1.930 1.930 0.000

[18]
5
Lattice="3.775 0.000 0.000 0.000 3.775 0.000 0.000 0.000 4.012" Properties=species:S:1:pos:R:3 comment="MnBrO2F, relaxed, DFT GGA+U" sg="No. 123" magnetic_moment_mub_per_fu=0.001 dos_ef_per_ev_atom=0.560 energy_ev_per_cell=-21.37 pbc="T T T"
Mn 0.000 0.000 0.000
Br 1.888 1.888 2.006
O 0.000 1.888 0.000
O 1.888 0.000 0.000
F 0.000 0.000 2.006

[19]
5
Lattice="4.879 0.000 0.000 0.000 4.879 0.000 0.000 0.000 3.725" Properties=species:S:1:pos:R:3 comment="MnBrOF2, relaxed, DFT GGA+U" sg="No. 123" magnetic_moment_mub_per_fu=5.448 dos_ef_per_ev_atom=0.678 e_above_lowest_polymorph_mev_per_atom=808 pbc="T T T"
Mn 0.000 0.000 0.000
Br 2.440 2.440 1.863
O 2.440 2.440 0.000
F 0.000 2.440 1.863
F 2.440 0.000 1.863

[20]
5
Lattice="4.535 0.000 0.000 0.000 4.535 0.000 0.000 0.000 4.846" Properties=species:S:1:pos:R:3 comment="MnPdBrF2, relaxed, DFT GGA+U" sg="No. 123" magnetic_moment_mub_per_fu=5.464 dos_ef_per_ev_atom=0.393 energy_ev_per_cell=-18.85 pbc="T T T"
Mn 0.000 0.000 0.000
Pd 2.267 2.267 0.000
Br 2.267 2.267 2.423
F 0.000 2.267 2.423
F 2.267 0.000 2.423

[21]
5
Lattice="4.469 0.000 0.000 0.000 4.469 0.000 0.000 0.000 5.396" Properties=species:S:1:pos:R:3 comment="RbMnBrF2, relaxed, DFT GGA+U" sg="No. 123" magnetic_moment_mub_per_fu=5.000 dos_ef_per_ev_atom=0.000 energy_ev_per_cell=-24.63 pbc="T T T"
Rb 0.000 0.000 0.000
Mn 2.234 2.234 2.698
Br 2.234 2.234 0.000
F 0.000 2.234 2.698
F 2.234 0.000 2.698